Cs3Fe | PBE | relaxed

The structure in POSCAR format:
```
Cs3Fe
1.0
6.227 0.000 0.000
0.000 6.227 0.000
0.000 0.000 6.227
Fe Cs
1 3
Direct
0.000 0.000 0.000 Fe
0.500 0.500 0.000 Cs
0.000 0.500 0.500 Cs
0.500 0.000 0.500 Cs
```

Computed properties:
Mass density in g/cm3: 3.1
E_tot in eV/atom: -1.80
Excess energy over the best structure of this formula in the dataset in meV per atom: 3